<a>
HfTiTc PBE optimized geometry; N(E_F) = 10.652 states/eV/cell; calculated volume = 208 Å³ per cell
1.0
6.111 0.000 -0.002
0.000 4.416 0.000
-6.106 0.000 7.704
Hf Tc Ti
4 4 4
direct
0.772 0.000 0.172
0.228 0.000 0.828
0.772 0.500 0.672
0.228 0.500 0.328
0.261 0.000 0.510
0.739 0.000 0.490
0.261 0.500 0.010
0.739 0.500 0.990
0.727 0.000 0.839
0.273 0.000 0.161
0.727 0.500 0.339
0.273 0.500 0.661

<b>
HfTiTc PBE optimized geometry; N(E_F) = 13.731 states/eV/cell; calculated volume = 210 Å³ per cell
1.0
4.532 0.000 0.000
0.000 10.094 0.000
0.000 0.000 4.584
Hf Tc Ti
4 4 4
direct
0.000 0.902 0.250
0.000 0.098 0.750
0.500 0.402 0.250
0.500 0.598 0.750
0.000 0.248 0.250
0.000 0.752 0.750
0.500 0.748 0.250
0.500 0.252 0.750
0.000 0.603 0.250
0.000 0.397 0.750
0.500 0.103 0.250
0.500 0.897 0.750

<c>
HfTiTc PBE optimized geometry; N(E_F) = 5.220 states/eV/cell; calculated volume = 104 Å³ per cell
1.0
-3.858 -2.055 -3.234
3.139 -2.229 3.840
-3.305 1.021 3.295
Hf Tc Ti
2 2 2
direct
0.755 0.245 0.750
0.245 0.755 0.250
0.419 0.581 0.750
0.581 0.419 0.250
0.941 0.059 0.250
0.059 0.941 0.750

<d>
HfTiTc PBE optimized geometry; N(E_F) = 11.256 states/eV/cell; calculated volume = 210 Å³ per cell
1.0
5.644 0.000 0.003
0.000 4.491 0.000
-5.465 0.000 8.263
Hf Tc Ti
4 4 4
direct
0.323 0.000 0.024
0.323 0.500 0.523
0.701 0.000 0.727
0.701 0.500 0.227
0.844 0.000 0.041
0.844 0.500 0.541
0.012 0.000 0.366
0.012 0.500 0.866
0.145 0.000 0.670
0.145 0.500 0.170
0.540 0.000 0.379
0.540 0.500 0.879

Order from most stable to least stable according to the calculation: <b>, <d>, <a>, <c>

<a>
HfTiTc PBE optimized geometry; N(E_F) = 2.751 states/eV/cell; calculated volume = 52 Å³ per cell
1.0
3.080 0.000 0.000
0.000 4.419 0.000
0.000 -2.209 3.827
Hf Tc Ti
1 1 1
direct
0.037 0.000 0.000
0.349 0.333 0.667
0.613 0.667 0.333

<b>
HfTiTc PBE optimized geometry; N(E_F) = 3.256 states/eV/cell; calculated volume = 60 Å³ per cell
1.0
-4.273 -0.803 0.668
1.698 -0.343 -4.038
3.026 -2.806 1.505
Hf Ti Tc
1 1 1
direct
0.944 0.972 0.917
0.944 0.472 0.417
0.444 0.222 0.667

Order from most stable to least stable according to the calculation: <a>, <b>

<a>
HfTi2Tc2 PBE optimized geometry; N(E_F) = 15.135 states/eV/cell; calculated volume = 168 Å³ per cell
1.0
7.543 0.000 0.000
0.000 7.543 0.000
0.000 0.000 2.953
Hf Tc Ti
2 4 4
direct
0.000 0.000 0.000
0.500 0.500 0.000
0.171 0.671 0.500
0.671 0.829 0.500
0.829 0.329 0.500
0.329 0.171 0.500
0.368 0.868 0.000
0.868 0.632 0.000
0.632 0.132 0.000
0.132 0.368 0.000

<b>
HfTi2Tc2 PBE optimized geometry; N(E_F) = 2.762 states/eV/cell; calculated volume = 86 Å³ per cell
1.0
3.158 0.000 0.000
0.000 3.185 0.603
0.000 0.037 8.511
Hf Ti Tc
1 2 2
direct
0.000 0.000 0.000
0.000 0.182 0.636
0.000 0.818 0.364
0.500 0.397 0.206
0.500 0.603 0.794

Order from most stable to least stable according to the calculation: <b>, <a>